VASP calculation (PBE-GGA) on an optimized crystal structure of Tb6Dy8Er.

abc: 9.001 9.001 8.586
angles: 58.38 58.38 60.00
Sites, in units of the cell vectors:
Tb (0.231, 0.540, 0.123)
Dy (0.889, 0.255, 0.577)
Er (0.000, 0.000, 0.000)
Tb (0.460, 0.894, 0.877)
Dy (0.745, 0.721, 0.423)
Dy (0.255, 0.279, 0.577)
Dy (0.577, 0.577, 0.269)
Dy (0.279, 0.889, 0.577)
Dy (0.721, 0.111, 0.423)
Tb (0.540, 0.106, 0.123)
Tb (0.769, 0.460, 0.877)
Dy (0.111, 0.745, 0.423)
Dy (0.423, 0.423, 0.731)
Tb (0.894, 0.769, 0.877)
Tb (0.106, 0.231, 0.123)

Output
As for the size of the total moment: 0.000 μB per cell. The formation energy from the elements comes out at 0.125 eV per atom.


VASP calculation (PBE-GGA) on an optimized crystal structure of Tb3Dy3Er.

abc: 5.645 9.527 9.527
angles: 120.00 90.00 90.00
Sites, in units of the cell vectors:
Er (0.750, 0.333, 0.667)
Tb (0.750, 0.191, 0.952)
Tb (0.750, 0.761, 0.809)
Er (0.250, 0.667, 0.333)
Tb (0.250, 0.952, 0.761)
Dy (0.250, 0.524, 0.619)
Tb (0.250, 0.239, 0.191)
Dy (0.750, 0.476, 0.381)
Dy (0.250, 0.095, 0.476)
Dy (0.750, 0.619, 0.095)
Dy (0.250, 0.381, 0.905)
Dy (0.750, 0.905, 0.524)
Tb (0.250, 0.809, 0.048)
Tb (0.750, 0.048, 0.239)

Output
As for the size of the total moment: 0.002 μB per cell. The energy relative to the lowest polymorph listed for this composition comes out at 0 kJ/mol of formula units. The formation energy from the elements comes out at 0.010 eV per atom.